Entry 1:
Density functional theory data (PBE-GGA) for a geometry-optimized BaLi2PbAu4 structure.

```
BaLi2PbAu4
1.0
2.326 1.343 10.117
-2.326 1.343 10.117
0.000 -2.686 10.117
Ba Li Pb Au
1 2 1 4
Direct
0.000 0.000 0.000
0.235 0.235 0.235
0.765 0.765 0.765
0.500 0.500 0.500
0.114 0.114 0.114
0.402 0.402 0.402
0.598 0.598 0.598
0.886 0.886 0.886
```

Calculated values
ΔH_f (0 K) in eV per atom: -0.45
Energy in eV per atom: -3.27

---

Entry 2:
Density functional theory data (PBE-GGA) for a geometry-optimized Ba2Ir2Pt structure.

```
Ba2Ir2Pt
1.0
-3.135 3.135 3.699
3.135 -3.135 3.699
3.135 3.135 -3.699
Ba Ir Pt
2 2 1
Direct
0.250 0.750 0.500
0.750 0.250 0.500
0.163 0.163 0.000
0.837 0.837 0.000
0.500 0.500 0.000
```

Calculated values
ΔH_f (0 K) in eV per atom: 0.07
Energy in eV per atom: -5.45
E above lowest polymorph in meV per atom: 153

---

Entry 3:
Density functional theory data (PBE-GGA) for a geometry-optimized ZrNb2HgH structure.

```
ZrNb2HgH
1.0
4.186 0.000 0.000
0.000 4.186 0.000
0.000 0.000 4.592
Zr Nb Hg H
1 2 1 1
Direct
0.000 0.000 0.000
0.000 0.500 0.500
0.500 0.000 0.500
0.500 0.500 0.000
0.000 0.000 0.500
```

Calculated values
Energy in eV per atom: -6.55